Tm3Zn3NiAu2 | the Open Quantum Materials Database | PBE-GGA | optimized geometry; energy of formation = -0.63 eV per atom; size of the total moment = 0.00 μB/f.u.
1.0
7.2351 0.0000 0.0000
-3.6176 6.2658 0.0000
0.0000 0.0000 3.8463
Tm Zn Ni Au
3 3 1 2
Direct
0.0000 0.3945 0.0000
0.3945 0.0000 0.0000
0.6055 0.6055 0.0000
0.0000 0.7681 0.5000
0.2319 0.2319 0.5000
0.7681 0.0000 0.5000
0.0000 0.0000 0.0000
0.3333 0.6667 0.5000
0.6667 0.3333 0.5000